First-principles (PBEsol) data for AlFe2Mo after structural relaxation, as listed in Alexandria via LeMat-Bulk.

Cell: 4.1380 4.1380 4.1380 Å, 60.00 60.00 60.00°
Last column: nearest neighbours and their distance in Å.
Sites, in units of the cell vectors:
Mo 0.2500 0.2500 0.2500  4 Fe 2.53, 4 Al 2.53
Fe 0.0000 0.0000 0.0000  4 Mo 2.53, 4 Fe 2.53
Al 0.5000 0.5000 0.5000  4 Mo 2.53, 4 Fe 2.53
Fe 0.7500 0.7500 0.7500  4 Fe 2.53, 4 Al 2.53

For the raw total energy, the calculation gives -33.87 eV/f.u. As for the space-group type: No. 216. The calculation puts the calculated volume at 50.1 Å³ per cell. The value obtained for the density of states at the Fermi level is 2.3 states/eV/cell.

=====

First-principles (PBEsol) data for TcAgPt3 after structural relaxation, as listed in Alexandria via LeMat-Bulk.

Cell: 4.7388 4.7388 4.7388 Å, 90.00 90.00 90.00°
Last column: nearest neighbours and their distance in Å.
Sites, in units of the cell vectors:
Pt 0.0000 0.5000 0.0000  2 Ag 2.37
Pt 0.5000 0.0000 0.0000  2 Ag 2.37
Pt 0.0000 0.0000 0.5000  2 Ag 2.37
Ag 0.0000 0.0000 0.0000  6 Pt 2.37
Tc 0.5000 0.5000 0.5000  12 Pt 3.35

For the raw total energy, the calculation gives -25.14 eV/f.u. As for the space-group type: No. 221. The calculation puts the calculated volume at 106.4 Å³ per cell. The value obtained for the density of states at the Fermi level is 3.6 states/eV/cell.

=====

First-principles (PBEsol) data for CdPPb3 after structural relaxation, as listed in Alexandria via LeMat-Bulk.

Cell: 5.4010 5.4010 5.4010 Å, 90.00 90.00 90.00°
Last column: nearest neighbours and their distance in Å.
Sites, in units of the cell vectors:
P 0.0000 0.0000 0.0000  6 Pb 2.70
Cd 0.5000 0.5000 0.5000  12 Pb 3.82
Pb 0.5000 0.0000 0.0000  2 P 2.70
Pb 0.0000 0.5000 0.0000  2 P 2.70
Pb 0.0000 0.0000 0.5000  2 P 2.70

For the raw total energy, the calculation gives -16.60 eV/f.u. As for the space-group type: No. 221. The calculation puts the calculated volume at 157.6 Å³ per cell. The value obtained for the density of states at the Fermi level is 3.9 states/eV/cell.

=====

First-principles (PBEsol) data for HfSc2Ge2 after structural relaxation, as listed in Alexandria via LeMat-Bulk.

Cell: 3.7625 7.1062 7.1062 Å, 90.00 90.00 90.00°
Last column: nearest neighbours and their distance in Å.
Sites, in units of the cell vectors:
Sc 0.5000 0.3305 0.1695  6 Ge 2.73-2.87
Sc 0.5000 0.8305 0.3305  6 Ge 2.73-2.87
Ge 0.0000 0.8664 0.6336  1 Ge 2.68, 6 Sc 2.73-2.87, 2 Hf 2.77
Hf 0.0000 0.5000 0.5000  4 Ge 2.77
Sc 0.5000 0.1695 0.6695  6 Ge 2.73-2.87
Ge 0.0000 0.1336 0.3664  1 Ge 2.68, 6 Sc 2.73-2.87, 2 Hf 2.77
Sc 0.5000 0.6695 0.8305  6 Ge 2.73-2.87
Hf 0.0000 0.0000 0.0000  4 Ge 2.77
Ge 0.0000 0.6336 0.1336  1 Ge 2.68, 6 Sc 2.73-2.87, 2 Hf 2.77
Ge 0.0000 0.3664 0.8664  1 Ge 2.68, 6 Sc 2.73-2.87, 2 Hf 2.77

For the raw total energy, the calculation gives -37.44 eV/f.u. As for the space-group type: No. 127. The calculation puts the calculated volume at 190.0 Å³ per cell. The value obtained for the density of states at the Fermi level is 9.8 states/eV/cell.

=====

For the records above, the corresponding calculated formation energy values read -0.0209; 2.0649; 0.4771; -0.7702 eV per atom.